Compound: CsCrNi2Cl8
Source: the Alexandria database
Functional: PBE
Structure: relaxed

Geometry as CIF:
```
data_CsCrNi2Cl8
_cell_length_a 10.458
_cell_length_b 10.458
_cell_length_c 10.458
_cell_angle_alpha 34.67
_cell_angle_beta 34.67
_cell_angle_gamma 34.67
_symmetry_space_group_name_H-M 'P 1'
_symmetry_Int_Tables_number 1
_symmetry_space_group_name_Hall 'P 1'
loop_
_atom_site_label
_atom_site_type_symbol
_atom_site_fract_x
_atom_site_fract_y
_atom_site_fract_z
Cs1 Cs 0.000 0.000 0.000
Cr1 Cr 0.500 0.500 0.500
Ni1 Ni 0.232 0.232 0.232
Ni2 Ni 0.768 0.768 0.768
Cl1 Cl 0.147 0.764 0.448
Cl2 Cl 0.236 0.552 0.853
Cl3 Cl 0.307 0.307 0.307
Cl4 Cl 0.448 0.147 0.764
Cl5 Cl 0.552 0.853 0.236
Cl6 Cl 0.693 0.693 0.693
Cl7 Cl 0.764 0.448 0.147
Cl8 Cl 0.853 0.236 0.552
```

space group	No. 148
ΔE_f (raw)	-0.912	eV per atom
DFT total energy	-3.980	eV per atom
V	330.38	Å³/cell